Model a:
{"formula": "Ti2CoAsOs", "functional": "PBE-GGA", "state": "relaxed", "lattice": [[4.597, 0.000, 0.000], [0.000, 4.109, 0.000], [0.000, 0.000, 4.597]], "species": ["Co", "As", "Ti", "Ti", "Os"], "fractional_positions": [[0.000, 0.500, 0.000], [0.000, 0.000, 0.000], [0.500, 0.000, 0.000], [0.000, 0.000, 0.500], [0.500, 0.500, 0.500]], "magmom_total_mub_per_cell": 0.48, "crystal_system": "tetragonal", "dos_at_fermi_per_ev_cell": 4.64, "space_group": "P4/mmm, No. 123"}

---

Model b:
{"formula": "Ti2CoAsOs", "functional": "PBE-GGA", "state": "relaxed", "lattice": [[-4.186, -0.317, 1.423], [-0.220, -3.892, -1.515], [1.439, -1.591, 3.879]], "species": ["Ti", "Ti", "As", "Os", "Co"], "fractional_positions": [[0.500, 0.000, 0.000], [0.000, 0.000, 0.500], [0.000, 0.500, 0.000], [0.500, 0.500, 0.500], [0.000, 0.000, 0.000]], "magmom_total_mub_per_cell": 0.00, "crystal_system": "tetragonal", "dos_at_fermi_per_ev_cell": 5.27, "space_group": "P4/mmm, No. 123"}

---

Relative energies, eV/atom: model a 0.208; model b 0.000.